Record 1
Below is crystalline CsSeI2Cl at its relaxed geometry, with properties calculated at the PBE level.

The structure belongs to space group P4/mmm (No. 123); the cell edges are 5.8146, 5.8146 and 5.6921 Å and the angles 90.00°, 90.00° and 90.00°. The inequivalent atoms are Cs at (0.0000, 0.0000, 0.0000), Se at (0.5000, 0.5000, 0.5000), I at (0.0000, 0.5000, 0.5000) and Cl at (0.5000, 0.5000, 0.0000).

The magnetization comes out at 0.0245 μB/atom.


Record 2
Below is crystalline Cs6SeI3Cl2 at its relaxed geometry, with properties calculated at the PBE level.

The structure belongs to space group C2/m (No. 12); the cell edges are 23.0740, 5.3466 and 10.6305 Å and the angles 90.00°, 101.85° and 90.00°. The inequivalent atoms are Cs at (0.0118, 0.0000, 0.2459), Cs at (0.1665, 0.5000, 0.1071), Cs at (0.1719, 0.5000, 0.5723), Se at (0.0000, 0.5000, 0.0000), I at (0.0000, 0.5000, 0.5000), I at (0.1623, 0.0000, 0.8364) and Cl at (0.1710, 0.0000, 0.3405).

The magnetization comes out at 0.0842 μB/atom.


Record 3
Below is crystalline Cs4SeICl at its relaxed geometry, with properties calculated at the PBE level.

The structure belongs to space group P2_1/m (No. 11); the cell edges are 9.3589, 8.4580 and 10.4350 Å and the angles 90.00°, 102.75° and 90.00°. The inequivalent atoms are Cs at (0.0687, 0.2500, 0.0847), Cs at (0.2445, 0.7500, 0.3513), Cs at (0.3953, 0.0025, 0.7911), Se at (0.3145, 0.7500, 0.0390), I at (0.3647, 0.2500, 0.4147) and Cl at (0.1096, 0.2500, 0.7752).

The magnetization comes out at 0.0192 μB/atom.


no.,raw formation energy (eV per atom)
1,-0.653
2,-1.499
3,-1.391